Version A
Here is an optimized crystal structure of CuPO5 from the Alexandria database. Energies are from PBE.

Summary:
For the density of states at the Fermi level, the calculation gives 1.7 states/eV per cell. For the volume, the calculation gives 357 Å³/cell.

extended XYZ file:
```
28
Lattice="5.966 0.000 0.000 0.000 6.202 0.000 0.000 0.000 9.645" Properties=species:S:1:pos:R:3 pbc="T T T"
Cu 4.773 0.822 3.871
O 1.938 4.777 4.639
O 2.915 3.373 1.731
Cu 1.193 3.923 0.952
O 0.882 5.327 2.276
O 0.068 2.829 6.553
O 4.028 1.676 0.183
P 4.632 3.300 6.263
O 2.184 5.412 9.015
P 1.649 6.003 3.381
O 0.799 0.790 4.193
O 3.782 2.311 5.452
O 3.865 3.976 7.368
O 1.045 1.425 9.461
O 2.101 0.875 7.099
O 4.422 0.433 0.510
O 4.920 4.526 5.006
O 3.051 0.272 3.092
O 5.898 5.930 7.914
O 1.440 2.668 9.135
O 1.543 3.534 4.313
O 5.084 2.226 2.546
P 4.316 2.902 1.441
Cu 4.176 5.380 8.693
O 4.526 5.769 5.332
O 5.167 3.891 0.630
Cu 1.790 2.279 5.774
P 1.333 0.199 8.204
```

Version B
Here is an optimized crystal structure of CuPO5 from the Alexandria database. Energies are from PBE.

Summary:
For the density of states at the Fermi level, the calculation gives 9.6 states/eV per cell. For the volume, the calculation gives 380 Å³/cell.

extended XYZ file:
```
28
Lattice="-1.935 4.179 -6.015 -0.169 -5.096 -3.486 -7.871 -1.569 1.443" Properties=species:S:1:pos:R:3 pbc="T T T"
O -5.576 -0.441 -2.478
O -6.378 -3.323 -4.133
O -7.729 -0.100 -2.989
O -2.246 -2.386 -5.070
O -6.233 1.890 -3.515
O -3.743 -4.375 -4.543
Cu -0.085 -2.548 -1.743
Cu 0.000 0.000 0.000
O -8.138 1.359 -5.084
P -7.098 0.742 -4.142
O -5.472 -4.703 -2.143
O -4.504 2.217 -5.915
O -6.220 -0.233 -5.006
O -1.837 -3.845 -2.975
O -7.547 -5.442 -3.416
O -3.755 -2.253 -3.052
Cu -4.988 -1.243 -4.029
O -2.411 0.823 -6.118
O -4.399 -2.044 -5.580
Cu -4.903 1.305 -2.286
O -1.000 -1.041 -1.207
O -3.598 0.838 -3.925
O -8.975 -1.444 -6.852
O -2.428 2.957 -4.642
P -6.726 -4.200 -2.925
P -3.249 1.714 -5.133
P -2.878 -3.228 -3.916
O -7.564 -3.309 -1.940
```

Which is the most stable structure? version A is the most stable.